No. 1
6
Lattice="-1.8392 2.5286 -3.7327 4.6644 -1.3525 -5.0129 -2.6576 -5.2856 -4.0557" Properties=species:S:1:pos:R:3 comment="RbReTe PBE optimized geometry" e_form_raw_ev_per_atom=0.32 relative_energy_kj_per_mol_fu=67.3 energy_ev_per_cell=-31.22 dos_ef_per_ev_cell=4.212 pbc="T T T"
Rb 0.4103 -1.5708 -3.1800
Rb -0.2428 -2.5386 -9.6213
Re 1.4547 -5.7845 -9.5843
Re -1.2871 1.6750 -3.2170
Te 1.8751 -1.1852 -6.7046
Te -1.7075 -2.9242 -6.0968

***

No. 2
12
Lattice="-2.1321 -2.1488 2.7253 8.4572 -3.8040 3.6170 -1.9815 8.0967 4.8338" Properties=species:S:1:pos:R:3 comment="RbBeBiSe3 PBE optimized geometry" e_form_raw_ev_per_atom=-0.76 energy_ev_per_cell=-47.14 dos_ef_per_ev_cell=0.000 pbc="T T T"
Rb 0.6110 0.6043 2.4764
Rb 3.7326 1.5395 8.6997
Be -1.0844 4.0278 3.8494
Be 5.4280 -1.8840 7.3268
Bi 4.7805 -1.9075 3.7579
Bi -0.4370 4.0513 7.4182
Se 5.5010 -3.6684 5.9769
Se -1.1574 5.8122 5.1993
Se 5.6307 0.1375 6.0354
Se -1.2871 2.0064 5.1407
Se 1.8754 -1.9951 4.4598
Se 2.4682 4.1390 6.7164

***

No. 3
12
Lattice="-1.5395 -3.6335 -0.8615 1.0923 0.4530 -3.8622 10.7333 -5.1249 2.4346" Properties=species:S:1:pos:R:3 comment="ScSn2Pt9 PBE optimized geometry" energy_ev_per_cell=-76.22 dos_ef_per_ev_cell=7.097 formation_enthalpy_0k_mev_per_atom=-626 pbc="T T T"
Sc 0.0000 0.0000 0.0000
Sn 3.5450 -1.6926 0.8041
Sn 7.1883 -3.4322 1.6305
Pt -0.2236 -1.5903 -2.3619
Pt 3.3485 -3.2958 -1.5516
Pt 6.9376 -5.0096 -0.7375
Pt 0.9760 -2.6503 -0.0348
Pt 4.5969 -4.3792 0.7865
Pt 8.2178 -6.1081 1.6078
Pt 2.2919 -0.6071 -1.5351
Pt 5.9128 -2.3359 -0.7138
Pt 9.5337 -4.0648 0.1075

***

No. 4
4
Lattice="-3.2585 -0.7105 0.9411 -0.8532 -3.2042 1.0067 1.1011 1.3567 11.2158" Properties=species:S:1:pos:R:3 comment="PrThSc2 PBE optimized geometry" relative_energy_kj_per_mol_fu=23.2 energy_ev_per_cell=-24.53 dos_ef_per_ev_cell=6.706 formation_enthalpy_0k_mev_per_atom=83 pbc="T T T"
Pr -2.7408 -2.6095 1.2996
Th -1.5055 -1.2792 6.5808
Sc 0.4780 0.6858 8.5522
Sc -0.7476 -0.6340 3.3127

***

No. 5
5
Lattice="4.7117 0.0000 0.0000 0.0000 4.6693 0.0000 0.0000 0.0000 4.7117" Properties=species:S:1:pos:R:3 comment="ZrGaReTc2 PBE optimized geometry" energy_ev_per_cell=-39.75 dos_ef_per_ev_cell=3.811 formation_enthalpy_0k_mev_per_atom=1001 pbc="T T T"
Re 0.0000 0.0000 0.0000
Ga 0.0000 2.3347 0.0000
Tc 0.0000 0.0000 2.3559
Tc 2.3559 0.0000 0.0000
Zr 2.3559 2.3347 2.3559

***

No. 6
10
Lattice="-1.3197 -3.8971 -0.3563 2.9598 -0.7480 -2.7814 10.5118 -4.6977 12.4492" Properties=species:S:1:pos:R:3 comment="ThPaBi2N PBE optimized geometry" e_form_raw_ev_per_atom=-0.76 energy_ev_per_cell=-73.65 dos_ef_per_ev_cell=4.254 pbc="T T T"
Th 0.8370 -2.6175 1.5945
Th 10.4949 -4.4028 9.2858
Pa 5.2648 -4.5963 6.8384
Pa 6.0671 -2.4240 4.0419
Bi 8.5327 -3.5259 6.9619
Bi 2.1953 -0.6937 -0.5435
Bi 9.1366 -6.3266 11.4238
Bi 2.7992 -3.4944 3.9184
N 5.2559 -2.3489 6.2246
N 6.0760 -4.6714 4.6558

***

No. 7
28
Lattice="4.3318 0.0000 0.0000 0.0000 6.8756 0.0000 0.0000 0.0000 16.8251" Properties=species:S:1:pos:R:3 comment="NaGa4Pd2 PBE optimized geometry" relative_energy_kj_per_mol_fu=0.0 energy_ev_per_cell=-106.24 dos_ef_per_ev_cell=12.690 formation_enthalpy_0k_mev_per_atom=-393 pbc="T T T"
Na 3.2488 6.6312 10.8353
Na 1.0829 0.2444 5.9898
Na 1.0829 3.1934 14.4023
Na 3.2488 3.6822 2.4228
Ga 1.0829 1.7447 11.5672
Ga 3.2488 5.1309 5.2579
Ga 3.2488 5.1825 13.6704
Ga 1.0829 1.6931 3.1547
Ga 1.0829 4.5702 11.5579
Ga 3.2488 2.3054 5.2671
Ga 3.2488 1.1324 13.6797
Ga 1.0829 5.7432 3.1454
Ga 1.0829 0.9156 9.0489
Ga 3.2488 5.9600 7.7762
Ga 3.2488 4.3533 16.1887
Ga 1.0829 2.5222 0.6363
Ga 1.0829 3.2389 7.3061
Ga 3.2488 3.6367 9.5189
Ga 3.2488 6.6767 1.1064
Ga 1.0829 0.1989 15.7186
Pd 1.0829 5.1444 9.0171
Pd 3.2488 1.7312 7.8080
Pd 3.2488 1.7066 16.2205
Pd 1.0829 5.1690 0.6046
Pd 1.0829 6.5679 13.2167
Pd 3.2488 0.3077 3.6084
Pd 3.2488 3.1301 12.0209
Pd 1.0829 3.7455 4.8042

***

No. 8
4
Lattice="5.5604 0.0003 0.0000 2.5327 4.9501 0.0000 -4.0466 -2.4752 2.9012" Properties=species:S:1:pos:R:3 comment="CdIn2W PBE optimized geometry" energy_ev_per_cell=-17.19 dos_ef_per_ev_cell=1.108 formation_enthalpy_0k_mev_per_atom=538 pbc="T T T"
Cd 2.7802 0.0001 1.4506
W 4.0466 2.4752 0.0000
In 0.0000 0.0000 0.0000
In 1.2664 2.4751 1.4506